# Hf3CuS

A relaxed Hf3CuS crystal (PBE-GGA, Alexandria).

Lattice parameters (Å, degrees): 4.7058 4.7058 4.7058 90.00 90.00 90.00
Closest atoms and distances in Å follow each position.
Positions (direct):
Hf  0.0000  0.0000  0.5000  2 S 2.35
Hf  0.0000  0.5000  0.0000  2 S 2.35
Hf  0.5000  0.0000  0.0000  2 S 2.35
Cu  0.5000  0.5000  0.5000  12 Hf 3.33
S  0.0000  0.0000  0.0000  6 Hf 2.35

mass density	10.056	g cm⁻³
total magnetic moment	0.000	μB/f.u.
polymorph energy (0 for the lowest one)	0.0	meV per atom
raw formation energy	-0.1088	eV/atom
N(E_F)	3.350	states/eV/cell



# HfCuS3

A relaxed HfCuS3 crystal (PBE-GGA, Alexandria).

Lattice parameters (Å, degrees): 4.4322 4.4322 4.4322 90.00 90.00 90.00
Closest atoms and distances in Å follow each position.
Positions (direct):
Hf  0.0000  0.0000  0.0000  12 S 3.13
Cu  0.5000  0.5000  0.5000  6 S 2.22
S  0.0000  0.5000  0.5000  2 Cu 2.22
S  0.5000  0.0000  0.5000  2 Cu 2.22
S  0.5000  0.5000  0.0000  2 Cu 2.22

mass density	6.451	g cm⁻³
total magnetic moment	0.000	μB/f.u.
polymorph energy (0 for the lowest one)	970.5	meV per atom
raw formation energy	0.0602	eV/atom
N(E_F)	2.464	states/eV/cell



# Hf6CuS

A relaxed Hf6CuS crystal (PBE-GGA, Alexandria).

Lattice parameters (Å, degrees): 5.7825 6.0120 6.1347 114.58 90.99 114.31
Closest atoms and distances in Å follow each position.
Positions (direct):
Hf  0.0224  0.2733  0.2546  1 S 2.49, 1 Cu 2.61
Hf  0.2231  0.2659  0.7298  1 S 2.45, 1 Cu 2.53
Hf  0.3893  0.9737  0.2486  1 S 2.55, 1 Cu 2.65
Hf  0.6107  0.0263  0.7514  1 S 2.55, 1 Cu 2.65
Hf  0.7769  0.7341  0.2702  1 S 2.45, 1 Cu 2.53
Hf  0.9776  0.7267  0.7454  1 S 2.49, 1 Cu 2.61
Cu  0.5000  0.5000  0.5000  6 Hf 2.53-2.65
S  0.0000  0.5000  0.0000  6 Hf 2.45-2.55

mass density	11.255	g cm⁻³
total magnetic moment	0.000	μB/f.u.
raw formation energy	-0.1305	eV/atom
N(E_F)	7.286	states/eV/cell



# HfCuS3

A relaxed HfCuS3 crystal (PBE-GGA, Alexandria).

Lattice parameters (Å, degrees): 4.9038 4.9038 4.9038 90.00 90.00 90.00
Closest atoms and distances in Å follow each position.
Positions (direct):
Hf  0.0000  0.0000  0.0000  6 S 2.45
Cu  0.5000  0.5000  0.5000  12 S 3.47
S  0.0000  0.0000  0.5000  2 Hf 2.45
S  0.0000  0.5000  0.0000  2 Hf 2.45
S  0.5000  0.0000  0.0000  2 Hf 2.45

mass density	4.763	g cm⁻³
total magnetic moment	0.000	μB/f.u.
polymorph energy (0 for the lowest one)	693.8	meV per atom
raw formation energy	-0.2164	eV/atom
N(E_F)	2.773	states/eV/cell



# HfCu2S4

A relaxed HfCu2S4 crystal (PBE-GGA, Alexandria).

Lattice parameters (Å, degrees): 6.8007 6.8007 6.8007 137.13 137.13 62.23
Closest atoms and distances in Å follow each position.
Positions (direct):
Hf  0.0000  0.0000  0.0000  6 S 2.48-2.49
Cu  0.3974  0.3974  0.0000  1 S 2.15, 1 Cu 2.39
Cu  0.6026  0.6026  0.0000  1 S 2.15, 1 Cu 2.39
S  0.0000  0.5000  0.5000  2 Hf 2.49, 4 Cu 2.76
S  0.2128  0.2128  0.0000  1 Cu 2.15
S  0.5000  0.0000  0.5000  2 Hf 2.49, 4 Cu 2.76
S  0.7872  0.7872  0.0000  1 Cu 2.15

mass density	5.009	g cm⁻³
total magnetic moment	1.725	μB/f.u.
polymorph energy (0 for the lowest one)	391.5	meV per atom
raw formation energy	-0.2609	eV/atom
N(E_F)	6.651	states/eV/cell



# Hf3Cu3S8

A relaxed Hf3Cu3S8 crystal (PBE-GGA, Alexandria).

Lattice parameters (Å, degrees): 7.2802 7.2802 7.2802 60.40 60.40 60.40
Closest atoms and distances in Å follow each position.
Positions (direct):
Hf  0.0000  0.5000  0.5000  6 S 2.54-2.57
Hf  0.5000  0.0000  0.5000  6 S 2.54-2.57
Hf  0.5000  0.5000  0.0000  6 S 2.54-2.57
Cu  0.1179  0.1179  0.1179  4 S 2.29-2.37
Cu  0.5000  0.5000  0.5000  6 S 2.52
Cu  0.8821  0.8821  0.8821  4 S 2.29-2.37
S  0.2510  0.2510  0.2510  1 Cu 2.37, 3 Hf 2.57
S  0.2558  0.2558  0.7354  2 Cu 2.29-2.52, 2 Hf 2.54
S  0.2558  0.7354  0.2558  2 Cu 2.29-2.52, 2 Hf 2.54
S  0.2646  0.7442  0.7442  2 Cu 2.29-2.52, 2 Hf 2.54
S  0.7354  0.2558  0.2558  2 Cu 2.29-2.52, 2 Hf 2.54
S  0.7442  0.2646  0.7442  2 Cu 2.29-2.52, 2 Hf 2.54
S  0.7442  0.7442  0.2646  2 Cu 2.29-2.52, 2 Hf 2.54
S  0.7490  0.7490  0.7490  1 Cu 2.37, 3 Hf 2.57

mass density	5.926	g cm⁻³
total magnetic moment	0.000	μB/f.u.
raw formation energy	-1.0525	eV/atom
N(E_F)	6.087	states/eV/cell



# HfCuS2

A relaxed HfCuS2 crystal (PBE-GGA, Alexandria).

Lattice parameters (Å, degrees): 6.6178 6.6178 6.6178 130.03 130.03 73.35
Closest atoms and distances in Å follow each position.
Positions (direct):
Hf  0.0000  0.0000  0.0000  4 S 2.45
Hf  0.7500  0.2500  0.5000  4 S 2.45
Cu  0.2500  0.7500  0.5000  4 S 2.31
Cu  0.5000  0.5000  0.0000  4 S 2.31
S  0.1470  0.6250  0.0220  2 Cu 2.31, 2 Hf 2.45
S  0.3750  0.3970  0.5220  2 Cu 2.31, 2 Hf 2.45
S  0.6030  0.1250  0.9780  2 Cu 2.31, 2 Hf 2.45
S  0.8750  0.8530  0.4780  2 Cu 2.31, 2 Hf 2.45

mass density	6.130	g cm⁻³
total magnetic moment	0.000	μB/f.u.
raw formation energy	-0.7470	eV/atom
N(E_F)	4.507	states/eV/cell



# HfSc2CuS6

A relaxed HfSc2CuS6 crystal (PBE-GGA, Alexandria).

Lattice parameters (Å, degrees): 6.3603 6.3647 6.8845 90.06 117.49 119.98
Closest atoms and distances in Å follow each position.
Positions (direct):
Hf  0.0000  0.0000  0.0000  6 S 2.51-2.58
Sc  0.6209  0.8107  0.4316  6 S 2.55-2.61
Sc  0.6287  0.3145  0.9428  6 S 2.57-2.58
Cu  0.0144  0.5069  0.5216  6 S 2.44-2.63
S  0.1222  0.3958  0.2273  1 Hf 2.51, 2 Sc 2.55-2.58, 1 Cu 2.62
S  0.1229  0.2239  0.7204  1 Cu 2.44, 2 Sc 2.57-2.61, 1 Hf 2.57
S  0.4958  0.8987  0.7203  1 Cu 2.44, 2 Sc 2.57-2.61, 1 Hf 2.58
S  0.5005  0.1048  0.2271  1 Hf 2.51, 2 Sc 2.55-2.58, 1 Cu 2.62
S  0.8216  0.5972  0.7202  1 Cu 2.44, 2 Sc 2.57-2.61, 1 Hf 2.58
S  0.8308  0.7267  0.2267  1 Hf 2.51, 2 Sc 2.55-2.58, 1 Cu 2.63

mass density	4.264	g cm⁻³
total magnetic moment	0.750	μB/f.u.
raw formation energy	-1.3381	eV/atom
N(E_F)	7.608	states/eV/cell